a.
This record from Alexandria via LeMat-Bulk describes a relaxed structure of La2PrY5. The functional is PBE.

The crystal system is orthorhombic. As for the total magnetic moment: 0.0 μB per formula unit.

It has space group Cmcm (No. 63), with a = 5.7477 Å, b = 11.5329 Å, c = 16.7882 Å, α = 90.00°, β = 90.00° and γ = 90.00°. The inequivalent atoms are La at (0.0000, 0.2201, 0.1364), Pr at (0.0000, 0.2070, 0.7500), Y at (0.0000, 0.0908, 0.5725), Y at (0.0000, 0.3908, 0.5574) and Y at (0.0000, 0.4880, 0.2500).

=====

b.
This record from Alexandria via LeMat-Bulk describes a relaxed structure of La2PrY5. The functional is PBE.

The crystal system is orthorhombic. As for the total magnetic moment: 0.0 μB per formula unit.

It has space group Pbam (No. 55), with a = 7.2430 Å, b = 14.5133 Å, c = 10.3352 Å, α = 90.00°, β = 90.00° and γ = 90.00°. The inequivalent atoms are La at (0.0000, 0.0000, 0.2486), La at (0.2461, 0.3735, 0.0000), Pr at (0.2458, 0.3744, 0.5000), Y at (0.0000, 0.5000, 0.2513), Y at (0.0057, 0.7486, 0.2521), Y at (0.2452, 0.1250, 0.0000) and Y at (0.2456, 0.1255, 0.5000).

=====

Computed stability ranking, most favorable first: b, a